Entry 1:
Density functional theory data (PBE-GGA) for a relaxed Ho2Zr2O5 crystal.

Cell: 4.1095 4.1095 7.3988 Å, 90.00 90.00 90.00°
Last column: nearest neighbours and their distance in Å.
Fractional positions:
Ho  0.0000  0.0000  0.0000  8 O 2.84
Ho  0.0000  0.0000  0.5000  12 O 2.70-2.91
Zr  0.5000  0.5000  0.2172  5 O 2.08-2.09
Zr  0.5000  0.5000  0.7828  5 O 2.08-2.09
O  0.0000  0.5000  0.2643  2 Zr 2.08
O  0.0000  0.5000  0.7357  2 Zr 2.08
O  0.5000  0.0000  0.2643  2 Zr 2.08
O  0.5000  0.0000  0.7357  2 Zr 2.08
O  0.5000  0.5000  0.5000  2 Zr 2.09

Relative energy among the computed polymorphs in meV/atom: 0
SG: No. 123
E_tot in eV per atom: -8.237

=====

Entry 2:
Density functional theory data (PBE-GGA) for a relaxed HoOs crystal.

Cell: 3.2491 3.2491 4.3825 Å, 90.00 90.00 120.00°
Last column: nearest neighbours and their distance in Å.
Fractional positions:
Ho  0.0000  0.0000  0.0000  6 Os 2.88
Os  0.6667  0.3333  0.5000  6 Ho 2.88

SG: No. 187
E_tot in eV per atom: -7.555
Calculated formation energy in eV/atom: 0.35

=====

Entry 3:
Density functional theory data (PBE-GGA) for a relaxed Ho5Os2 crystal.

Cell: 8.3691 8.3691 7.3309 Å, 96.94 96.94 44.44°
Last column: nearest neighbours and their distance in Å.
Fractional positions:
Ho  0.0792  0.9208  0.7500  4 Os 2.89-2.91
Ho  0.1414  0.2945  0.3180  3 Os 2.84-2.99
Ho  0.2935  0.5242  0.0834  2 Os 2.76-2.81
Ho  0.2945  0.1414  0.8180  3 Os 2.84-2.99
Ho  0.4758  0.7065  0.4166  2 Os 2.76-2.81
Ho  0.5242  0.2935  0.5834  2 Os 2.76-2.81
Ho  0.7055  0.8586  0.1820  3 Os 2.84-2.99
Ho  0.7065  0.4758  0.9166  2 Os 2.76-2.81
Ho  0.8586  0.7055  0.6820  3 Os 2.84-2.99
Ho  0.9208  0.0792  0.2500  4 Os 2.89-2.91
Os  0.1034  0.6770  0.4215  7 Ho 2.76-2.99
Os  0.3230  0.8966  0.0785  7 Ho 2.76-2.99
Os  0.6770  0.1034  0.9215  7 Ho 2.76-2.99
Os  0.8966  0.3230  0.5785  7 Ho 2.76-2.99

SG: No. 15
E_tot in eV per atom: -6.771
Calculated formation energy in eV/atom: -0.29

=====

Entry 4:
Density functional theory data (PBE-GGA) for a relaxed Ho3Os crystal.

Cell: 7.3761 8.9917 6.2728 Å, 90.00 90.00 90.00°
Last column: nearest neighbours and their distance in Å.
Fractional positions:
Ho  0.0391  0.2500  0.1293  2 Os 2.75-2.82
Ho  0.1753  0.0626  0.6659  3 Os 2.85-3.12
Ho  0.1753  0.4374  0.6659  3 Os 2.85-3.12
Ho  0.3247  0.5626  0.1659  3 Os 2.85-3.12
Ho  0.3247  0.9374  0.1659  3 Os 2.85-3.12
Ho  0.4609  0.7500  0.6293  2 Os 2.75-2.82
Ho  0.5391  0.2500  0.3707  2 Os 2.75-2.82
Ho  0.6753  0.0626  0.8341  3 Os 2.85-3.12
Ho  0.6753  0.4374  0.8341  3 Os 2.85-3.12
Ho  0.8247  0.5626  0.3341  3 Os 2.85-3.12
Ho  0.8247  0.9374  0.3341  3 Os 2.85-3.12
Ho  0.9609  0.7500  0.8707  2 Os 2.75-2.82
Os  0.1176  0.7500  0.4599  6 Ho 2.75-2.93
Os  0.3824  0.2500  0.9599  6 Ho 2.75-2.93
Os  0.6176  0.7500  0.0401  6 Ho 2.75-2.93
Os  0.8824  0.2500  0.5401  6 Ho 2.75-2.93

SG: No. 62
E_tot in eV per atom: -6.518
Calculated formation energy in eV/atom: -0.28

=====

Entry 5:
Density functional theory data (PBE-GGA) for a relaxed HoOs crystal.

Cell: 4.0111 4.0111 4.0111 Å, 60.00 60.00 60.00°
Last column: nearest neighbours and their distance in Å.
Fractional positions:
Ho  0.0000  0.0000  0.0000  6 Os 2.84
Os  0.5000  0.5000  0.5000  6 Ho 2.84

SG: No. 225
E_tot in eV per atom: -7.173
Calculated formation energy in eV/atom: 0.73

=====

Entry 6:
Density functional theory data (PBE-GGA) for a relaxed Ho8Os crystal.

Cell: 8.9846 8.9846 3.6677 Å, 90.00 90.00 120.00°
Last column: nearest neighbours and their distance in Å.
Fractional positions:
Ho  0.0000  0.2425  0.0000  2 Os 2.85
Ho  0.0000  0.6255  0.5000  1 Os 3.36, 10 Ho 3.37-3.67
Ho  0.2425  0.0000  0.0000  2 Os 2.85
Ho  0.3333  0.6667  0.0000  11 Ho 3.37-3.67
Ho  0.3745  0.3745  0.5000  1 Os 3.36, 10 Ho 3.37-3.67
Ho  0.6255  0.0000  0.5000  1 Os 3.36, 10 Ho 3.37-3.67
Ho  0.6667  0.3333  0.0000  11 Ho 3.37-3.67
Ho  0.7575  0.7575  0.0000  2 Os 2.85
Os  0.0000  0.0000  0.5000  6 Ho 2.85

SG: No. 189
E_tot in eV per atom: -5.378
Calculated formation energy in eV/atom: -0.06

=====

Entry 7:
Density functional theory data (PBE-GGA) for a relaxed HoOs crystal.

Cell: 4.4048 4.4048 4.4048 Å, 60.00 60.00 60.00°
Last column: nearest neighbours and their distance in Å.
Fractional positions:
Ho  0.0000  0.0000  0.0000  4 Os 2.70
Os  0.7500  0.7500  0.7500  4 Ho 2.70

SG: No. 216
E_tot in eV per atom: -6.257
Calculated formation energy in eV/atom: 1.64

=====

Entry 8:
Density functional theory data (PBE-GGA) for a relaxed Ho2TmSc3P2Os crystal.

Cell: 4.0538 7.3727 7.3727 Å, 119.85 90.00 90.00°
Last column: nearest neighbours and their distance in Å.
Fractional positions:
Ho  0.0000  0.2059  0.7941  4 P 3.02, 1 Os 3.06, 6 Sc 3.24-3.34
Ho  0.0000  0.7941  0.2059  4 P 3.02, 1 Os 3.06, 6 Sc 3.24-3.34
Tm  0.0000  0.6180  0.6180  4 P 3.00, 1 Os 3.00, 6 Sc 3.28-3.34
Sc  0.5000  0.2058  0.4506  2 Os 2.70, 2 P 2.84-2.86
Sc  0.5000  0.4506  0.2058  2 Os 2.70, 2 P 2.84-2.86
Sc  0.5000  0.9671  0.9671  2 Os 2.72, 2 P 2.86
P  0.5000  0.5408  0.8712  3 Sc 2.84-2.86, 2 Tm 3.00, 4 Ho 3.02
P  0.5000  0.8712  0.5408  3 Sc 2.84-2.86, 2 Tm 3.00, 4 Ho 3.02
Os  0.0000  0.2124  0.2124  6 Sc 2.70-2.72, 1 Tm 3.00

SG: No. 38
E_tot in eV per atom: -6.934